# 1
Pu3In7Pt4 | GGA-PBE | optimized geometry

Summary:
As for the formation energy: -488.5 meV per atom. Its space-group type is C2/m. The crystal system is monoclinic.

a = 8.5951 Å, b = 8.5951 Å, c = 10.2241 Å
α = 121.36°, β = 121.36°, γ = 29.95°
Last column: nearest neighbours and their distance in Å.
Element x y z (fractional)
Pu 0.0000 0.0000 0.0000  6 Pt 3.19-3.44
Pu 0.3091 0.3091 0.2989  4 Pt 3.17-3.18, 9 In 3.29-3.49
Pu 0.6909 0.6909 0.7011  4 Pt 3.17-3.18, 9 In 3.29-3.49
In 0.0000 0.0000 0.5000  2 Pt 2.89, 6 In 3.14
In 0.1640 0.1640 0.4338  3 Pt 2.79-2.84
In 0.3177 0.3177 0.9742  4 Pt 2.67-2.83
In 0.4930 0.4930 0.7103  3 Pt 2.72-2.83
In 0.5070 0.5070 0.2897  3 Pt 2.72-2.83
In 0.6823 0.6823 0.0258  4 Pt 2.67-2.83
In 0.8360 0.8360 0.5662  3 Pt 2.79-2.84
Pt 0.1173 0.1173 0.8355  6 In 2.76-2.89
Pt 0.3365 0.3365 0.7309  5 In 2.67-2.84
Pt 0.6635 0.6635 0.2691  5 In 2.67-2.84
Pt 0.8827 0.8827 0.1645  6 In 2.76-2.89



# 2
SrInMo2 | GGA-PBE | optimized geometry

Summary:
As for the formation energy: 567.3 meV per atom. Its space-group type is C2/m. The crystal system is monoclinic.

a = 10.2728 Å, b = 3.4176 Å, c = 5.9595 Å
α = 90.00°, β = 101.58°, γ = 90.00°
Last column: nearest neighbours and their distance in Å.
Element x y z (fractional)
Sr 0.0000 0.0000 0.0000  2 Sr 3.42, 4 In 3.43, 6 Mo 3.56-3.57
Sr 0.5000 0.5000 0.0000  2 Sr 3.42, 4 In 3.43, 6 Mo 3.56-3.57
In 0.0000 0.5000 0.5000  6 Mo 2.92-3.00
In 0.5000 0.0000 0.5000  6 Mo 2.92-3.00
Mo 0.2338 0.0000 0.6335  2 Mo 2.40
Mo 0.2662 0.5000 0.3665  2 Mo 2.40
Mo 0.7338 0.5000 0.6335  2 Mo 2.40
Mo 0.7662 0.0000 0.3665  2 Mo 2.40



# 3
Ho6ZnPd | GGA-PBE | optimized geometry

Summary:
As for the formation energy: -274.2 meV per atom. Its space-group type is I4/mmm. The crystal system is tetragonal.

a = 4.9600 Å, b = 4.9600 Å, c = 17.3550 Å
α = 90.00°, β = 90.00°, γ = 90.00°
Last column: nearest neighbours and their distance in Å.
Element x y z (fractional)
Ho 0.0000 0.0000 0.2471  12 Ho 3.51-3.60
Ho 0.0000 0.0000 0.7529  12 Ho 3.51-3.60
Ho 0.0000 0.5000 0.1022  2 Pd 3.05, 2 Zn 3.05
Ho 0.0000 0.5000 0.3978  2 Zn 3.05, 2 Pd 3.05
Ho 0.0000 0.5000 0.6022  2 Zn 3.05, 2 Pd 3.05
Ho 0.0000 0.5000 0.8978  2 Pd 3.05, 2 Zn 3.05
Ho 0.5000 0.0000 0.1022  2 Pd 3.05, 2 Zn 3.05
Ho 0.5000 0.0000 0.3978  2 Zn 3.05, 2 Pd 3.05
Ho 0.5000 0.0000 0.6022  2 Zn 3.05, 2 Pd 3.05
Ho 0.5000 0.0000 0.8978  2 Pd 3.05, 2 Zn 3.05
Ho 0.5000 0.5000 0.2529  12 Ho 3.51-3.60
Ho 0.5000 0.5000 0.7471  12 Ho 3.51-3.60
Zn 0.0000 0.0000 0.0000  8 Ho 3.05
Zn 0.5000 0.5000 0.5000  8 Ho 3.05
Pd 0.0000 0.0000 0.5000  8 Ho 3.05
Pd 0.5000 0.5000 0.0000  8 Ho 3.05



# 4
K4Na2Cd3 | GGA-PBE | optimized geometry

Summary:
As for the formation energy: -7.8 meV per atom. Its space-group type is C2/m. The crystal system is monoclinic.

a = 10.2963 Å, b = 10.2963 Å, c = 8.7542 Å
α = 103.86°, β = 103.86°, γ = 26.04°
Last column: nearest neighbours and their distance in Å.
Element x y z (fractional)
K 0.0681 0.0681 0.3743  2 Na 3.70-4.10, 6 Cd 3.71-3.97, 1 K 3.91
K 0.2446 0.2446 0.7496  3 Na 3.81-4.03, 2 Cd 4.00, 1 K 4.20
K 0.7554 0.7554 0.2504  3 Na 3.81-4.03, 2 Cd 4.00, 1 K 4.20
K 0.9319 0.9319 0.6257  2 Na 3.70-4.10, 6 Cd 3.71-3.97, 1 K 3.91
Na 0.1074 0.1074 0.9835  4 Cd 3.16-3.19
Na 0.8926 0.8926 0.0165  4 Cd 3.16-3.19
Cd 0.4197 0.4197 0.2693  2 Na 3.16, 1 Cd 3.17
Cd 0.5000 0.5000 0.0000  2 Cd 3.17, 4 Na 3.19
Cd 0.5803 0.5803 0.7307  2 Na 3.16, 1 Cd 3.17



# 5
ScTiCu | GGA-PBE | optimized geometry

Summary:
The calculation puts the energy relative to the lowest polymorph listed for this composition at 0.21 eV/f.u. As for the formation energy: -13.0 meV per atom. Its space-group type is C2/m. The crystal system is monoclinic.

a = 10.8359 Å, b = 3.2995 Å, c = 6.2337 Å
α = 90.00°, β = 109.59°, γ = 90.00°
Last column: nearest neighbours and their distance in Å.
Element x y z (fractional)
Sc 0.0000 0.0000 0.0000  4 Cu 2.85, 4 Ti 2.94, 2 Sc 3.12
Sc 0.0000 0.0000 0.5000  4 Cu 2.87, 6 Ti 3.07-3.16, 2 Sc 3.12
Sc 0.5000 0.5000 0.0000  4 Cu 2.85, 4 Ti 2.94, 2 Sc 3.12
Sc 0.5000 0.5000 0.5000  4 Cu 2.87, 6 Ti 3.07-3.16, 2 Sc 3.12
Ti 0.1989 0.5000 0.3310  2 Ti 2.61, 3 Cu 2.67-2.90
Ti 0.3011 0.0000 0.6690  2 Ti 2.61, 3 Cu 2.67-2.90
Ti 0.6989 0.0000 0.3310  2 Ti 2.61, 3 Cu 2.67-2.90
Ti 0.8011 0.5000 0.6690  2 Ti 2.61, 3 Cu 2.67-2.90
Cu 0.1699 0.5000 0.8515  2 Cu 2.65, 3 Ti 2.67-2.90, 4 Sc 2.85-2.87
Cu 0.3301 0.0000 0.1485  2 Cu 2.65, 3 Ti 2.67-2.90, 4 Sc 2.85-2.87
Cu 0.6699 0.0000 0.8515  2 Cu 2.65, 3 Ti 2.67-2.90, 4 Sc 2.85-2.87
Cu 0.8301 0.5000 0.1485  2 Cu 2.65, 3 Ti 2.67-2.90, 4 Sc 2.85-2.87



# 6
LiPrIn | GGA-PBE | optimized geometry

Summary:
As for the formation energy: -200.5 meV per atom. Its space-group type is I4/mmm. The crystal system is tetragonal.

a = 3.4365 Å, b = 3.4365 Å, c = 26.2111 Å
α = 90.00°, β = 90.00°, γ = 90.00°
Last column: nearest neighbours and their distance in Å.
Element x y z (fractional)
Li 0.0000 0.0000 0.2201  4 Li 2.89, 5 In 2.91-3.17
Li 0.0000 0.0000 0.7799  4 Li 2.89, 5 In 2.91-3.17
Li 0.5000 0.5000 0.2799  4 Li 2.89, 5 In 2.91-3.17
Li 0.5000 0.5000 0.7201  4 Li 2.89, 5 In 2.91-3.17
Pr 0.0000 0.0000 0.0696  4 In 3.37, 5 Pr 3.44-3.65
Pr 0.0000 0.0000 0.9304  4 In 3.37, 5 Pr 3.44-3.65
Pr 0.5000 0.5000 0.4304  4 In 3.37, 5 Pr 3.44-3.65
Pr 0.5000 0.5000 0.5696  4 In 3.37, 5 Pr 3.44-3.65
In 0.0000 0.0000 0.3412  5 Li 2.91-3.17
In 0.0000 0.0000 0.6588  5 Li 2.91-3.17
In 0.5000 0.5000 0.1588  5 Li 2.91-3.17
In 0.5000 0.5000 0.8412  5 Li 2.91-3.17



# 7
CrGa | GGA-PBE | optimized geometry

Summary:
As for the formation energy: 26.4 meV per atom. Its space-group type is I4/mmm. The crystal system is tetragonal.

a = 8.8946 Å, b = 8.8946 Å, c = 2.8500 Å
α = 90.00°, β = 90.00°, γ = 90.00°
Last column: nearest neighbours and their distance in Å.
Element x y z (fractional)
Cr 0.0000 0.3444 0.0000  4 Cr 2.42, 4 Ga 2.60
Cr 0.0000 0.6556 0.0000  4 Cr 2.42, 4 Ga 2.60
Cr 0.1556 0.5000 0.5000  4 Cr 2.42, 4 Ga 2.60
Cr 0.3444 0.0000 0.0000  4 Cr 2.42, 4 Ga 2.60
Cr 0.5000 0.1556 0.5000  4 Cr 2.42, 4 Ga 2.60
Cr 0.5000 0.8444 0.5000  4 Cr 2.42, 4 Ga 2.60
Cr 0.6556 0.0000 0.0000  4 Cr 2.42, 4 Ga 2.60
Cr 0.8444 0.5000 0.5000  4 Cr 2.42, 4 Ga 2.60
Ga 0.1567 0.1567 0.5000  4 Cr 2.60, 6 Ga 2.75-2.85
Ga 0.1567 0.8434 0.5000  4 Cr 2.60, 6 Ga 2.75-2.85
Ga 0.3434 0.3434 0.0000  4 Cr 2.60, 6 Ga 2.75-2.85
Ga 0.3434 0.6566 0.0000  4 Cr 2.60, 6 Ga 2.75-2.85
Ga 0.6566 0.3434 0.0000  4 Cr 2.60, 6 Ga 2.75-2.85
Ga 0.6566 0.6566 0.0000  4 Cr 2.60, 6 Ga 2.75-2.85
Ga 0.8434 0.1567 0.5000  4 Cr 2.60, 6 Ga 2.75-2.85
Ga 0.8434 0.8434 0.5000  4 Cr 2.60, 6 Ga 2.75-2.85



# 8
CaIn2Tc | GGA-PBE | optimized geometry

Summary:
The calculation puts the energy relative to the lowest polymorph listed for this composition at 0.27 eV/f.u. As for the formation energy: 86.6 meV per atom. Its space-group type is I4/mmm. The crystal system is tetragonal.

a = 4.4577 Å, b = 4.4577 Å, c = 8.4753 Å
α = 90.00°, β = 90.00°, γ = 90.00°
Last column: nearest neighbours and their distance in Å.
Element x y z (fractional)
Ca 0.0000 0.0000 0.0000  8 In 3.08, 4 Tc 3.15
Ca 0.5000 0.5000 0.5000  8 In 3.08, 4 Tc 3.15
In 0.0000 0.5000 0.2500  4 Tc 3.08, 4 Ca 3.08, 4 In 3.15
In 0.0000 0.5000 0.7500  4 Tc 3.08, 4 Ca 3.08, 4 In 3.15
In 0.5000 0.0000 0.2500  4 Tc 3.08, 4 Ca 3.08, 4 In 3.15
In 0.5000 0.0000 0.7500  4 Tc 3.08, 4 Ca 3.08, 4 In 3.15
Tc 0.0000 0.0000 0.5000  8 In 3.08, 4 Ca 3.15
Tc 0.5000 0.5000 0.0000  8 In 3.08, 4 Ca 3.15



# 9
Tm2PuCu | GGA-PBE | optimized geometry

Summary:
The calculation puts the energy relative to the lowest polymorph listed for this composition at 0.00 eV/f.u. As for the formation energy: -46.5 meV per atom. Its space-group type is P4/mmm. The crystal system is tetragonal.

a = 3.4012 Å, b = 3.4012 Å, c = 8.4864 Å
α = 90.00°, β = 90.00°, γ = 90.00°
Last column: nearest neighbours and their distance in Å.
Element x y z (fractional)
Tm 0.0000 0.0000 0.2006  4 Cu 2.95
Tm 0.0000 0.0000 0.7994  4 Cu 2.95
Pu 0.5000 0.5000 0.5000  4 Pu 3.40, 8 Tm 3.50
Cu 0.5000 0.5000 0.0000  8 Tm 2.95



# 10
Er3TiRu4 | GGA-PBE | optimized geometry

Summary:
As for the formation energy: -445.0 meV per atom. Its space-group type is P4/mmm. The crystal system is tetragonal.

a = 3.2771 Å, b = 3.2771 Å, c = 13.3408 Å
α = 90.00°, β = 90.00°, γ = 90.00°
Last column: nearest neighbours and their distance in Å.
Element x y z (fractional)
Er 0.0000 0.0000 0.0000  8 Ru 2.89
Er 0.0000 0.0000 0.2562  8 Ru 2.87-2.94
Er 0.0000 0.0000 0.7438  8 Ru 2.87-2.94
Ti 0.0000 0.0000 0.5000  8 Ru 2.73
Ru 0.5000 0.5000 0.1297  8 Er 2.87-2.89
Ru 0.5000 0.5000 0.3916  4 Ti 2.73, 1 Ru 2.89, 4 Er 2.94
Ru 0.5000 0.5000 0.6084  4 Ti 2.73, 1 Ru 2.89, 4 Er 2.94
Ru 0.5000 0.5000 0.8703  8 Er 2.87-2.89



# 11
La3DyMg2 | GGA-PBE | optimized geometry

Summary:
As for the formation energy: -51.7 meV per atom. Its space-group type is P4/mmm. The crystal system is tetragonal.

a = 3.8980 Å, b = 3.8980 Å, c = 12.8169 Å
α = 90.00°, β = 90.00°, γ = 90.00°
Last column: nearest neighbours and their distance in Å.
Element x y z (fractional)
La 0.0000 0.0000 0.0000  8 Mg 3.42
La 0.0000 0.0000 0.3135  4 Mg 3.40, 4 Dy 3.65
La 0.0000 0.0000 0.6865  4 Mg 3.40, 4 Dy 3.65
Dy 0.5000 0.5000 0.5000  8 La 3.65, 4 Dy 3.90
Mg 0.5000 0.5000 0.1576  8 La 3.40-3.42
Mg 0.5000 0.5000 0.8424  8 La 3.40-3.42



# 12
AsOs3 | GGA-PBE | optimized geometry

Summary:
The calculation puts the energy relative to the lowest polymorph listed for this composition at 1.32 eV/f.u. As for the formation energy: 581.6 meV per atom. Its space-group type is Cmcm. The crystal system is orthorhombic.

a = 6.8617 Å, b = 8.0140 Å, c = 4.6554 Å
α = 90.00°, β = 90.00°, γ = 90.00°
Last column: nearest neighbours and their distance in Å.
Element x y z (fractional)
As 0.0000 0.0521 0.2500  2 As 2.47, 2 Os 2.50
As 0.0000 0.9479 0.7500  2 As 2.47, 2 Os 2.50
As 0.5000 0.4479 0.7500  2 As 2.47, 2 Os 2.50
As 0.5000 0.5521 0.2500  2 As 2.47, 2 Os 2.50
Os 0.0000 0.4055 0.2500  10 Os 2.62-2.84, 1 As 2.83
Os 0.0000 0.5945 0.7500  10 Os 2.62-2.84, 1 As 2.83
Os 0.1894 0.2850 0.7500  1 As 2.50, 4 Os 2.53-2.62
Os 0.1894 0.7150 0.2500  1 As 2.50, 4 Os 2.53-2.62
Os 0.3106 0.2150 0.2500  1 As 2.50, 4 Os 2.53-2.62
Os 0.3106 0.7850 0.7500  1 As 2.50, 4 Os 2.53-2.62
Os 0.5000 0.0945 0.7500  10 Os 2.62-2.84, 1 As 2.83
Os 0.5000 0.9055 0.2500  10 Os 2.62-2.84, 1 As 2.83
Os 0.6894 0.2150 0.2500  1 As 2.50, 4 Os 2.53-2.62
Os 0.6894 0.7850 0.7500  1 As 2.50, 4 Os 2.53-2.62
Os 0.8106 0.2850 0.7500  1 As 2.50, 4 Os 2.53-2.62
Os 0.8106 0.7150 0.2500  1 As 2.50, 4 Os 2.53-2.62



| no. | M_tot (μB per cell) |
| --- | --- |
| 1 | 16.5 |
| 2 | 0.0 |
| 3 | 0.0 |
| 4 | 0.0 |
| 5 | 3.1 |
| 6 | 0.0 |
| 7 | 0.0 |
| 8 | 1.5 |
| 9 | 6.7 |
| 10 | 0.0 |
| 11 | 0.0 |
| 12 | 0.0 |